Entry 1:
This record from Alexandria via LeMat-Bulk describes a relaxed PmCo3Sb3 crystal. The functional is GGA-PBE.

a b c (Å): 6.8325 6.8325 6.8325
angles (deg): 90.00 90.00 90.00
Positions (direct):
1 Sb 0.0000 0.2500 0.5000
2 Sb 0.0000 0.7500 0.5000
3 Sb 0.5000 0.0000 0.7500
4 Sb 0.7500 0.5000 0.0000
5 Sb 0.5000 0.0000 0.2500
6 Sb 0.2500 0.5000 0.0000
7 Co 0.2500 0.0000 0.5000
8 Co 0.0000 0.5000 0.2500
9 Co 0.5000 0.7500 0.0000
10 Co 0.7500 0.0000 0.5000
11 Co 0.0000 0.5000 0.7500
12 Co 0.5000 0.2500 0.0000
13 Pm 0.5000 0.5000 0.5000
14 Pm 0.0000 0.0000 0.0000

Volume in Å³ per cell: 319.0

Entry 2:
This record from Alexandria via LeMat-Bulk describes a relaxed PmCoSb2 crystal. The functional is GGA-PBE.

a b c (Å): 4.2475 4.6589 4.6589
angles (deg): 90.00 90.00 90.00
Positions (direct):
1 Sb 0.0000 0.0000 0.5000
2 Sb 0.0000 0.5000 0.0000
3 Co 0.5000 0.0000 0.0000
4 Pm 0.5000 0.5000 0.5000

Volume in Å³ per cell: 92.2

Entry 3:
This record from Alexandria via LeMat-Bulk describes a relaxed Pm6Co2Sb crystal. The functional is GGA-PBE.

a b c (Å): 8.6308 8.6308 8.6308
angles (deg): 107.92 112.62 107.91
Positions (direct):
1 Pm 0.5380 0.8221 0.7160
2 Pm 0.4620 0.1779 0.2840
3 Pm 0.1061 0.8221 0.2840
4 Pm 0.8939 0.1779 0.7160
5 Pm 0.7972 0.0351 0.2379
6 Pm 0.2028 0.9649 0.7621
7 Pm 0.2028 0.4407 0.2379
8 Pm 0.7972 0.5593 0.7621
9 Pm 0.6787 0.3291 0.0079
10 Pm 0.3213 0.6709 0.9921
11 Pm 0.3213 0.3292 0.6504
12 Pm 0.6787 0.6709 0.3496
13 Co 0.5000 0.1142 0.6142
14 Co 0.5000 0.8858 0.3858
15 Co 0.7042 0.7042 0.0000
16 Co 0.2958 0.2958 0.0000
17 Sb 0.0000 0.5000 0.5000
18 Sb 0.0000 0.0000 0.0000

Volume in Å³ per cell: 493.8

Entry 4:
This record from Alexandria via LeMat-Bulk describes a relaxed Pm4CoSb2 crystal. The functional is GGA-PBE.

a b c (Å): 4.3313 7.4776 8.1222
angles (deg): 117.16 105.46 90.00
Positions (direct):
1 Pm 0.8873 0.1901 0.7745
2 Pm 0.1127 0.8099 0.2255
3 Pm 0.6143 0.2524 0.2287
4 Pm 0.3857 0.7476 0.7713
5 Co 0.0000 0.0000 0.0000
6 Sb 0.7326 0.7312 0.4653
7 Sb 0.2674 0.2688 0.5347

Volume in Å³ per cell: 223.3

Short version: uncorrected energy = -5.425; -5.198; -5.494; -5.411 eV per atom, in the order given.
Short version: size of the total moment = 0.00; 1.51; 0.00; 0.01 μB per cell, in the order given.
Short version: formation energy (no corrections) = 0.0662; -0.1729; -0.2896; -0.5038 eV per atom, in the order given.